Entry 1:
GGA-PBE MgSc3Ag, relaxed; energy relative to the elements = -0.02 eV per atom; total magnetization = 0.09 μB/atom; raw total energy = -0.1730 hartree per atom; ρ = 3870 kg/m³; energy above the most stable polymorph in this dataset = 0.0699 eV/atom
1.0
5.620 -2.488 0.000
5.620 2.488 0.000
-0.703 0.000 8.194
Mg Sc Ag
2 6 2
Direct
0.087 0.087 0.125
0.913 0.913 0.875
0.118 0.118 0.664
0.362 0.362 0.059
0.418 0.418 0.651
0.582 0.582 0.349
0.638 0.638 0.941
0.882 0.882 0.336
0.256 0.256 0.377
0.744 0.744 0.623



Entry 2:
GGA-PBE SiAsPC, relaxed; total magnetization = 0.00 μB/atom; raw total energy = -0.2136 hartree per atom; ρ = 3570 kg/m³; formation energy from raw total energies = 1.5 eV per formula unit; energy above the most stable polymorph in this dataset = 0.0714 eV/atom
1.0
3.261 0.000 0.000
1.439 4.247 0.000
1.402 1.194 4.904
Si As P C
1 1 1 1
Direct
0.000 0.000 0.000
0.003 0.459 0.596
0.670 0.391 0.277
0.569 0.786 0.056



Entry 3:
GGA-PBE KSr4H8, relaxed; total magnetization = 0.00 μB/atom; raw total energy = -0.1102 hartree per atom; ρ = 2984 kg/m³
1.0
6.049 0.000 0.000
0.000 6.049 0.000
0.000 0.000 6.049
K Sr H
1 4 8
Direct
0.000 0.000 0.000
0.000 0.000 0.500
0.000 0.500 0.000
0.500 0.000 0.000
0.500 0.500 0.500
0.244 0.244 0.244
0.244 0.244 0.756
0.244 0.756 0.244
0.244 0.756 0.756
0.756 0.244 0.244
0.756 0.244 0.756
0.756 0.756 0.244
0.756 0.756 0.756



Q: ρ of number 1 (MgSc3Ag)?
A: 3870 kg/m³